Model P:
The following is a DFT calculation (PBE) of a relaxed Y2ZnBi2 crystal.

Properties
DOS(E_F) in states/eV per cell: 2.40
Symmetry: P4/mbm

abc: 8.233 8.233 4.205
angles: 90.00 90.00 90.00
Atoms (fractional coordinates):
Y  0.155  0.655  0.500
Y  0.655  0.845  0.500
Y  0.845  0.345  0.500
Y  0.345  0.155  0.500
Zn  0.000  0.000  0.000
Zn  0.500  0.500  0.000
Bi  0.347  0.847  0.000
Bi  0.847  0.653  0.000
Bi  0.653  0.153  0.000
Bi  0.153  0.347  0.000

---

Model Q:
The following is a DFT calculation (PBE) of a relaxed Y2ZnBi2 crystal.

Properties
DOS(E_F) in states/eV per cell: 0.90
Symmetry: P4/mbm

abc: 8.317 8.317 4.205
angles: 90.00 90.00 90.00
Atoms (fractional coordinates):
Y  0.350  0.850  0.000
Y  0.850  0.650  0.000
Y  0.650  0.150  0.000
Y  0.150  0.350  0.000
Zn  0.000  0.000  0.000
Zn  0.500  0.500  0.000
Bi  0.158  0.658  0.500
Bi  0.658  0.842  0.500
Bi  0.842  0.342  0.500
Bi  0.342  0.158  0.500

---

Energy above the most stable structure, in kJ/mol of atoms: model P 4.1; model Q 0.0

---

Model P:
The following is a DFT calculation (PBE) of a relaxed YZr3Bi crystal.

Properties
DOS(E_F) in states/eV per cell: 7.81
Symmetry: Pm-3m

abc: 5.246 5.246 5.246
angles: 90.00 90.00 90.00
Each line ends with the local moment (μB).
Atoms (fractional coordinates):
Y  0.000  0.000  0.000  0.05
Bi  0.500  0.500  0.500  -0.03
Zr  0.000  0.500  0.000  0.30
Zr  0.000  0.000  0.500  0.19
Zr  0.500  0.000  0.000  0.39

---

Model Q:
The following is a DFT calculation (PBE) of a relaxed YZr3Bi crystal.

Properties
DOS(E_F) in states/eV per cell: 6.35
Symmetry: Pm-3m

abc: 5.444 5.444 5.444
angles: 90.00 90.00 90.00
Atoms (fractional coordinates):
Y  0.500  0.500  0.500
Bi  0.000  0.000  0.000
Zr  0.000  0.500  0.000
Zr  0.000  0.000  0.500
Zr  0.500  0.000  0.000

---

Energy above the most stable structure, in kJ/mol of atoms: model P 45.1; model Q 0.0

---

Model P:
The following is a DFT calculation (PBE) of a relaxed Zr2Zn2Bi crystal.

Properties
DOS(E_F) in states/eV per cell: 9.74
Symmetry: P4/mbm

abc: 7.563 7.563 3.905
angles: 90.00 90.00 90.00
Atoms (fractional coordinates):
Zn  0.142  0.642  0.500
Zn  0.642  0.858  0.500
Zn  0.858  0.358  0.500
Zn  0.358  0.142  0.500
Bi  0.000  0.000  0.000
Bi  0.500  0.500  0.000
Zr  0.349  0.849  0.000
Zr  0.849  0.651  0.000
Zr  0.651  0.151  0.000
Zr  0.151  0.349  0.000

---

Model Q:
The following is a DFT calculation (PBE) of a relaxed Zr2Zn2Bi crystal.

Properties
DOS(E_F) in states/eV per cell: 4.24
Symmetry: P4/mbm

abc: 7.127 7.127 4.039
angles: 90.00 90.00 90.00
Atoms (fractional coordinates):
Zn  0.380  0.880  0.000
Zn  0.880  0.620  0.000
Zn  0.620  0.120  0.000
Zn  0.120  0.380  0.000
Bi  0.000  0.000  0.000
Bi  0.500  0.500  0.000
Zr  0.172  0.672  0.500
Zr  0.672  0.828  0.500
Zr  0.828  0.328  0.500
Zr  0.328  0.172  0.500

---

Energy above the most stable structure, in kJ/mol of atoms: model P 14.3; model Q 0.0